Record 1
Li2La3Pd5 (PBE, relaxed); E = -5.136 eV per atom; size of the total moment = 0.00 μB per cell; energy of formation = -6.8 eV per formula unit
1.0
10.203 0.000 0.000
0.000 10.203 0.000
0.000 0.000 3.854
Li La Pd
4 6 10
Direct
0.119 0.381 0.000
0.381 0.881 0.000
0.619 0.119 0.000
0.881 0.619 0.000
0.000 0.000 0.000
0.175 0.675 0.000
0.325 0.175 0.000
0.500 0.500 0.000
0.675 0.825 0.000
0.825 0.325 0.000
0.000 0.500 0.500
0.070 0.220 0.500
0.220 0.930 0.500
0.280 0.430 0.500
0.430 0.720 0.500
0.500 0.000 0.500
0.570 0.280 0.500
0.720 0.570 0.500
0.780 0.070 0.500
0.930 0.780 0.500



Record 2
BaHg12Pb4 (PBE, relaxed); E = -1.170 eV per atom; size of the total moment = 0.00 μB per cell; energy of formation = 0.5 eV per formula unit
1.0
-5.201 5.201 5.201
5.201 -5.201 5.201
5.201 5.201 -5.201
Ba Hg Pb
1 12 4
Direct
0.000 0.000 0.000
0.145 0.501 0.356
0.145 0.789 0.644
0.211 0.356 0.855
0.356 0.145 0.501
0.356 0.855 0.211
0.499 0.644 0.855
0.501 0.356 0.145
0.644 0.145 0.789
0.644 0.855 0.499
0.789 0.644 0.145
0.855 0.211 0.356
0.855 0.499 0.644
0.000 0.000 0.500
0.000 0.500 0.000
0.500 0.000 0.000
0.500 0.500 0.500



Record 3
TaInCoCu (PBE, relaxed); E = -6.435 eV per atom; size of the total moment = 0.00 μB per cell; energy of formation = 0.1 eV per formula unit
1.0
0.000 3.107 3.107
3.107 0.000 3.107
3.107 3.107 0.000
Ta In Co Cu
1 1 1 1
Direct
0.000 0.000 0.000
0.500 0.500 0.500
0.250 0.250 0.250
0.750 0.750 0.750



Record 4
NdSm3Rh3 (PBE, relaxed); E = -6.438 eV per atom; size of the total moment = 0.00 μB per cell; energy of formation = -4.1 eV per formula unit
1.0
4.655 -5.259 0.000
4.655 5.259 0.000
-0.087 0.000 7.113
Nd Sm Rh
2 6 6
Direct
0.245 0.245 0.376
0.755 0.755 0.624
0.173 0.173 0.876
0.256 0.744 0.500
0.319 0.681 0.000
0.681 0.319 0.000
0.744 0.256 0.500
0.827 0.827 0.124
0.003 0.500 0.771
0.440 0.440 0.699
0.500 0.003 0.771
0.500 0.997 0.229
0.560 0.560 0.301
0.997 0.500 0.229



Record 5
Nd4Sm5Al (PBE, relaxed); E = -4.553 eV per atom; size of the total moment = 0.00 μB per cell; energy above the lowest structure with this stoichiometry = 144.0 meV/atom; energy of formation = 0.9 eV per formula unit
1.0
-5.388 5.388 2.929
5.388 -5.388 2.929
5.388 5.388 -2.929
Nd Sm Al
4 5 1
Direct
0.000 0.311 0.311
0.000 0.689 0.689
0.311 0.000 0.311
0.689 0.000 0.689
0.195 0.195 0.000
0.324 0.324 0.634
0.324 0.690 0.000
0.690 0.324 0.000
0.690 0.690 0.366
0.714 0.714 0.000



Record 6
RbTl2GaSb2 (PBE, relaxed); ΔE_f (raw) = -0.109 eV per atom; E = -2.938 eV per atom; size of the total moment = 0.00 μB per cell
1.0
4.371 0.000 0.000
0.000 10.268 0.000
0.000 0.000 9.327
Rb Tl Ga Sb
2 4 2 4
Direct
0.000 0.141 0.000
0.000 0.859 0.500
0.000 0.326 0.327
0.000 0.674 0.827
0.500 0.495 0.087
0.500 0.505 0.587
0.500 0.120 0.623
0.500 0.880 0.123
0.000 0.282 0.660
0.000 0.718 0.160
0.500 0.092 0.317
0.500 0.908 0.817



Record 7
Pd3RhCl (PBE, relaxed); ΔE_f (raw) = 1.047 eV per atom; E = -3.908 eV per atom; size of the total moment = 2.23 μB per cell; energy above the lowest structure with this stoichiometry = 307.5 meV/atom
1.0
4.858 0.000 0.000
0.000 4.858 0.000
0.000 0.000 4.858
Pd Rh Cl
3 1 1
Direct
0.000 0.000 0.500
0.000 0.500 0.000
0.500 0.000 0.000
0.000 0.000 0.000
0.500 0.500 0.500



Record 8
CsInHgI2 (PBE, relaxed); ΔE_f (raw) = -0.759 eV per atom; E = -2.158 eV per atom; size of the total moment = 0.00 μB per cell; energy above the lowest structure with this stoichiometry = 0.0 meV/atom
1.0
7.045 -2.592 0.000
7.045 2.592 0.000
-0.303 0.000 13.214
Cs In Hg I
2 2 2 4
Direct
0.135 0.135 0.357
0.865 0.865 0.643
0.361 0.361 0.168
0.639 0.639 0.832
0.168 0.168 0.973
0.832 0.832 0.027
0.145 0.145 0.650
0.424 0.424 0.844
0.576 0.576 0.156
0.855 0.855 0.350



Record 9
Pr3Sb4Rh4 (PBE, relaxed); ΔE_f (raw) = -0.860 eV per atom; E = -6.336 eV per atom; size of the total moment = 0.00 μB per cell
1.0
-2.110 2.250 13.498
2.110 -2.250 13.498
2.110 2.250 -13.498
Pr Sb Rh
3 4 4
Direct
0.000 0.000 0.000
0.352 0.852 0.500
0.648 0.148 0.500
0.194 0.694 0.500
0.446 0.446 0.000
0.554 0.554 0.000
0.806 0.306 0.500
0.098 0.598 0.500
0.251 0.251 0.000
0.749 0.749 0.000
0.902 0.402 0.500



Record 10
K2Zn4GaGe3 (PBE, relaxed); E = -2.484 eV per atom; size of the total moment = 0.00 μB per cell; energy of formation = -0.7 eV per formula unit
1.0
4.392 0.000 0.000
0.000 4.392 0.000
0.000 0.000 11.091
K Zn Ga Ge
2 4 1 3
Direct
0.000 0.500 0.246
0.500 0.000 0.754
0.000 0.000 0.000
0.000 0.500 0.638
0.500 0.000 0.362
0.500 0.500 0.000
0.000 0.000 0.500
0.000 0.500 0.870
0.500 0.000 0.130
0.500 0.500 0.500



Record 11
AlSbO (PBE, relaxed); ΔE_f (raw) = -1.476 eV per atom; E = -5.750 eV per atom; size of the total moment = 0.00 μB per cell; energy above the lowest structure with this stoichiometry = 24.4 meV/atom
1.0
3.167 0.000 0.000
0.000 10.956 0.000
0.000 0.000 3.353
Al Sb O
2 2 2
Direct
0.000 0.095 0.000
0.500 0.905 0.500
0.000 0.328 0.765
0.500 0.672 0.265
0.000 0.945 0.730
0.500 0.055 0.230



Record 12
La8SbRu2 (PBE, relaxed); ΔE_f (raw) = -0.305 eV per atom; E = -5.949 eV per atom; size of the total moment = 0.00 μB per cell
1.0
4.447 -7.052 0.000
4.447 7.052 0.000
-1.330 0.000 5.486
La Sb Ru
8 1 2
Direct
0.079 0.327 0.550
0.248 0.752 0.000
0.327 0.079 0.550
0.397 0.397 0.199
0.603 0.603 0.801
0.673 0.921 0.450
0.752 0.248 0.000
0.921 0.673 0.450
0.000 0.000 0.000
0.287 0.713 0.500
0.713 0.287 0.500



Record 13
CeErCrN3 (PBE, relaxed); ΔE_f (raw) = -1.165 eV per atom; E = -8.681 eV per atom; size of the total moment = 0.00 μB per cell
1.0
7.195 0.000 0.000
0.000 3.398 0.000
-1.096 0.000 7.332
Ce Er Cr N
2 2 2 6
Direct
0.171 0.250 0.176
0.829 0.750 0.824
0.360 0.750 0.832
0.640 0.250 0.168
0.080 0.250 0.599
0.920 0.750 0.401
0.121 0.250 0.853
0.166 0.750 0.528
0.396 0.750 0.147
0.604 0.250 0.853
0.834 0.250 0.472
0.879 0.750 0.147



Record 14
KDyMgS3 (PBE, relaxed); ΔE_f (raw) = -1.669 eV per atom; E = -4.949 eV per atom; size of the total moment = 0.00 μB per cell
1.0
8.693 0.000 0.000
0.000 4.111 0.000
-2.909 0.000 9.384
K Dy Mg S
2 2 2 6
Direct
0.202 0.250 0.213
0.798 0.750 0.787
0.334 0.750 0.864
0.666 0.250 0.136
0.085 0.250 0.609
0.915 0.750 0.391
0.117 0.250 0.860
0.200 0.750 0.547
0.460 0.750 0.149
0.540 0.250 0.851
0.800 0.250 0.453
0.883 0.750 0.140



Record 15
InRh2Br (PBE, relaxed); ΔE_f (raw) = 0.329 eV per atom; E = -4.449 eV per atom; size of the total moment = 0.01 μB per cell; energy above the lowest structure with this stoichiometry = 318.8 meV/atom
1.0
-1.917 1.917 4.901
1.917 -1.917 4.901
1.917 1.917 -4.901
In Rh Br
1 2 1
Direct
0.000 0.000 0.000
0.250 0.750 0.500
0.500 0.500 0.000
0.750 0.250 0.500



Record 16
K4TcO4 (PBE, relaxed); ΔE_f (raw) = -1.301 eV per atom; E = -5.144 eV per atom; size of the total moment = 2.09 μB per cell
1.0
-3.355 3.355 6.003
3.355 -3.355 6.003
3.355 3.355 -6.003
K Tc O
4 1 4
Direct
0.000 0.500 0.500
0.221 0.221 0.000
0.500 0.000 0.500
0.779 0.779 0.000
0.500 0.500 0.000
0.250 0.250 0.683
0.433 0.750 0.000
0.567 0.567 0.317
0.750 0.433 0.000



Record 17
Ca2Zn3Pb (PBE, relaxed); E = -2.241 eV per atom; size of the total moment = 0.00 μB per cell; energy of formation = -1.9 eV per formula unit
1.0
0.000 4.687 8.132
3.727 0.000 8.132
3.727 4.687 0.000
Ca Zn Pb
4 6 2
Direct
0.245 0.755 0.755
0.250 0.250 0.250
0.750 0.750 0.750
0.755 0.245 0.245
0.160 0.160 0.840
0.160 0.681 0.319
0.319 0.840 0.160
0.681 0.160 0.840
0.840 0.319 0.681
0.840 0.840 0.160
0.335 0.335 0.665
0.665 0.665 0.335



Record 18
TmTi2Ga6 (PBE, relaxed); E = -4.627 eV per atom; size of the total moment = 0.00 μB per cell; energy of formation = -3.2 eV per formula unit
1.0
-2.024 3.300 6.210
2.024 -3.300 6.210
2.024 3.300 -6.210
Tm Ti Ga
1 2 6
Direct
0.000 0.000 0.000
0.384 0.884 0.500
0.616 0.116 0.500
0.011 0.308 0.703
0.315 0.500 0.815
0.395 0.692 0.703
0.605 0.308 0.297
0.685 0.500 0.185
0.989 0.692 0.297



Record 19
NiAgAs2 (PBE, relaxed); E = -4.432 eV per atom; size of the total moment = 0.00 μB per cell; energy above the lowest structure with this stoichiometry = 50.1 meV/atom; energy of formation = 0.2 eV per formula unit
1.0
6.572 -1.440 0.000
6.572 1.440 0.000
-1.118 0.000 3.668
Ni Ag As
1 1 2
Direct
0.000 0.000 0.000
0.284 0.284 0.785
0.447 0.447 0.448
0.658 0.658 0.160



Record 20
YMgOs3 (PBE, relaxed); E = -5.776 eV per atom; size of the total moment = 1.65 μB per cell; energy above the lowest structure with this stoichiometry = 1071.9 meV/atom; energy of formation = 12.9 eV per formula unit
1.0
4.887 0.000 0.000
0.000 4.887 0.000
0.000 0.000 4.887
Y Mg Os
1 1 3
Direct
0.000 0.000 0.000
0.500 0.500 0.500
0.000 0.000 0.500
0.000 0.500 0.000
0.500 0.000 0.000